# 1
# La2TaVSb GGA-PBE relaxed
# Total DFT energy (no corrections), eV/f.u.: -29.48
# Spin magnetization, μB per formula unit: 2.71
data_La2TaVSb
_space_group_name_H-M_alt 'P 4/m m m'
_space_group_IT_number 123
_space_group_name_Hall '-P 4 2'
_cell_length_a 5.949
_cell_length_b 5.949
_cell_length_c 4.854
_cell_angle_alpha 90.00
_cell_angle_beta 90.00
_cell_angle_gamma 90.00
loop_
_atom_site_label
_atom_site_type_symbol
_atom_site_fract_x
_atom_site_fract_y
_atom_site_fract_z
_atom_site_occupancy
La1 La 0.000 0.500 0.000 1
Ta1 Ta 0.000 0.000 0.500 1
V1 V 0.500 0.500 0.500 1
Sb1 Sb 0.500 0.500 0.000 1


# 2
# ZnCdAg5 GGA-PBE relaxed
# Formation energy from the elements, eV/atom: 0.043
# Spin magnetization, μB per formula unit: 0.00
# Energy relative to the lowest polymorph listed for this composition, eV per atom: 0.000
data_ZnCdAg5
_space_group_name_H-M_alt 'P 4/m m m'
_space_group_IT_number 123
_space_group_name_Hall '-P 4 2'
_cell_length_a 4.145
_cell_length_b 4.145
_cell_length_c 7.683
_cell_angle_alpha 90.00
_cell_angle_beta 90.00
_cell_angle_gamma 90.00
loop_
_atom_site_label
_atom_site_type_symbol
_atom_site_fract_x
_atom_site_fract_y
_atom_site_fract_z
_atom_site_occupancy
Zn1 Zn 0.000 0.000 0.000 1
Cd1 Cd 0.500 0.500 0.500 1
Ag1 Ag 0.000 0.000 0.500 1
Ag2 Ag 0.000 0.500 0.219 1


> Which formula does entry 2 have?

ZnCdAg5


> Which formula does entry 1 have?

La2TaVSb


> The lowest spin magnetization belongs to which entry?

ZnCdAg5


> Which value of spin magnetization does entry 2 give?

0.00 μB per formula unit